(1)
# PmDy3In3 (PBE, relaxed)
data_PmDy3In3
_cell_length_a 9.3698
_cell_length_b 9.3698
_cell_length_c 9.3698
_cell_angle_alpha 90.00
_cell_angle_beta 90.00
_cell_angle_gamma 90.00
_space_group_name_H-M_alt 'P 21 3'
_space_group_IT_number 198
_space_group_name_Hall 'P 2ac 2ab 3'
loop_
_atom_site_label
_atom_site_fract_x
_atom_site_fract_y
_atom_site_fract_z
_atom_site_occupancy
Pm1 0.0694 0.4306 0.5694 1
Dy1 0.0839 0.5839 0.9161 1
Dy2 0.1763 0.1763 0.1763 1
Dy3 0.1781 0.8219 0.3219 1
In1 0.0011 0.2602 0.8816 1
# **Energy above the most stable polymorph in this dataset**: 38 meV/atom
# **Density**: 7.89 g/cm3

(2)
# PmDyIn (PBE, relaxed)
data_PmDyIn
_cell_length_a 5.4726
_cell_length_b 5.4726
_cell_length_c 6.7704
_cell_angle_alpha 90.00
_cell_angle_beta 90.00
_cell_angle_gamma 120.00
_space_group_name_H-M_alt 'P 63/m m c'
_space_group_IT_number 194
_space_group_name_Hall '-P 6c 2c'
loop_
_atom_site_label
_atom_site_fract_x
_atom_site_fract_y
_atom_site_fract_z
_atom_site_occupancy
Pm1 0.0000 0.0000 0.0000 1
Dy1 0.3333 0.6667 0.2500 1
In1 0.3333 0.6667 0.7500 1
# **Energy above the most stable polymorph in this dataset**: 0 meV/atom
# **Density**: 7.99 g/cm3

(3)
# PmDy2In (PBE, relaxed)
data_PmDy2In
_cell_length_a 4.8952
_cell_length_b 4.8952
_cell_length_c 4.8555
_cell_angle_alpha 90.00
_cell_angle_beta 90.00
_cell_angle_gamma 90.00
_space_group_name_H-M_alt 'P 4/m m m'
_space_group_IT_number 123
_space_group_name_Hall '-P 4 2'
loop_
_atom_site_label
_atom_site_fract_x
_atom_site_fract_y
_atom_site_fract_z
_atom_site_occupancy
Pm1 0.0000 0.0000 0.0000 1
Dy1 0.0000 0.5000 0.5000 1
In1 0.5000 0.5000 0.0000 1
# **Energy above the most stable polymorph in this dataset**: 0 meV/atom
# **Density**: 8.35 g/cm3

(4)
# PmDy5In2 (PBE, relaxed)
data_PmDy5In2
_cell_length_a 3.5939
_cell_length_b 10.5239
_cell_length_c 12.7310
_cell_angle_alpha 90.00
_cell_angle_beta 90.00
_cell_angle_gamma 90.00
_space_group_name_H-M_alt 'I m m m'
_space_group_IT_number 71
_space_group_name_Hall '-I 2 2'
loop_
_atom_site_label
_atom_site_fract_x
_atom_site_fract_y
_atom_site_fract_z
_atom_site_occupancy
Pm1 0.0000 0.0000 0.0000 1
Dy1 0.0000 0.2260 0.3651 1
Dy2 0.0000 0.5000 0.0000 1
In1 0.0000 0.5000 0.2599 1
# **Density**: 8.19 g/cm3

Formation energy from the elements in eV per atom, matching the order above: -0.32; -0.35; -0.27; -0.18